TmScAsSe | PBE | optimized geometry

## Properties
For the volume, the calculation gives 89.3 Å³/f.u. The size of the total moment is 0.000 μB per atom. The calculation puts the energy relative to the elements, uncorrected at -1532 meV/atom.

a b c (Å): 3.893 3.893 7.167
angles (deg): 90.00 105.75 120.00
Positions (direct):
As (0.314, 0.555, 0.884)
Tm (0.482, 0.139, 0.636)
Sc (0.121, 0.959, 0.095)
Se (0.961, 0.379, 0.355)